Record 1
Here is crystalline Rb2AlBr6Cl at its relaxed geometry from Alexandria via LeMat-Bulk. Energies are from PBE.

Total DFT energy (no corrections) = -28.19 eV/cell
ΔE_f (raw) = -1026 kJ/mol of formula units

Cell: 8.265 8.265 7.899 Å, 58.45 58.45 90.00°
Element x y z (fractional)
Br  0.708  0.292  0.000
Br  0.292  0.708  0.000
Br  0.292  0.292  0.000
Br  0.708  0.708  0.000
Br  0.230  0.230  0.540
Br  0.770  0.770  0.460
Al  0.500  0.500  0.000
Rb  0.250  0.750  0.500
Rb  0.750  0.250  0.500
Cl  0.000  0.000  0.000

Record 2
Here is crystalline BaNdIn2 at its relaxed geometry from Alexandria via LeMat-Bulk. Energies are from PBE.

DFT formation energy = -42 kJ/mol of atoms
Total DFT energy (no corrections) = -13.92 eV/cell

Cell: 4.054 4.054 8.230 Å, 90.00 90.00 90.00°
Element x y z (fractional)
In  0.000  0.000  0.789
In  0.000  0.000  0.211
Nd  0.500  0.500  0.000
Ba  0.500  0.500  0.500

Record 3
Here is crystalline Tb3Tm4Pd4 at its relaxed geometry from Alexandria via LeMat-Bulk. Energies are from PBE.

DFT formation energy = -59 kJ/mol of atoms
Total DFT energy (no corrections) = -59.28 eV/cell

Cell: 3.802 8.987 9.354 Å, 118.71 101.73 90.00°
Element x y z (fractional)
Tb  0.895  0.895  0.790
Tb  0.105  0.105  0.210
Tb  0.000  0.500  0.000
Tm  0.336  0.150  0.672
Tm  0.664  0.478  0.328
Tm  0.664  0.850  0.328
Tm  0.336  0.522  0.672
Pd  0.752  0.252  0.505
Pd  0.248  0.748  0.495
Pd  0.500  0.187  0.000
Pd  0.500  0.813  0.000

Record 4
Here is crystalline PrMgAlAu at its relaxed geometry from Alexandria via LeMat-Bulk. Energies are from PBE.

DFT formation energy = -46 kJ/mol of atoms
Total DFT energy (no corrections) = -15.31 eV/cell

Cell: 5.037 5.037 5.037 Å, 60.00 60.00 60.00°
Element x y z (fractional)
Pr  0.750  0.750  0.750
Au  0.000  0.000  0.000
Mg  0.250  0.250  0.250
Al  0.500  0.500  0.500

Record 5
Here is crystalline Pr2Y2Tm7 at its relaxed geometry from Alexandria via LeMat-Bulk. Energies are from PBE.

DFT formation energy = 15 kJ/mol of atoms
Total DFT energy (no corrections) = -52.09 eV/cell

Cell: 6.076 8.028 8.028 Å, 91.07 73.21 73.21°
Element x y z (fractional)
Pr  0.190  0.598  0.598
Pr  0.810  0.402  0.402
Tm  0.573  0.767  0.767
Tm  0.179  0.064  0.589
Tm  0.000  0.000  0.000
Tm  0.821  0.936  0.411
Tm  0.427  0.233  0.233
Tm  0.179  0.589  0.064
Tm  0.821  0.411  0.936
Y  0.500  0.791  0.209
Y  0.500  0.209  0.791

Record 6
Here is crystalline Ta2OsS at its relaxed geometry from Alexandria via LeMat-Bulk. Energies are from PBE.

Total DFT energy (no corrections) = -74.63 eV/cell
ΔE_f (raw) = 169 kJ/mol of formula units

Cell: 5.224 5.224 7.442 Å, 69.45 69.45 90.00°
Element x y z (fractional)
S  0.250  0.750  0.500
S  0.500  0.500  0.000
Ta  0.144  0.625  0.250
Ta  0.375  0.394  0.750
Ta  0.606  0.125  0.250
Ta  0.875  0.856  0.750
Os  0.000  0.000  0.000
Os  0.750  0.250  0.500

Record 7
Here is crystalline Y6P2CSe3 at its relaxed geometry from Alexandria via LeMat-Bulk. Energies are from PBE.

Total DFT energy (no corrections) = -88.29 eV/cell
ΔE_f (raw) = -1834 kJ/mol of formula units

Cell: 3.940 8.100 8.990 Å, 104.25 102.66 90.00°
Element x y z (fractional)
Y  0.352  0.916  0.703
Y  0.648  0.084  0.297
Y  0.002  0.213  0.004
Y  0.669  0.573  0.338
Y  0.998  0.787  0.996
Y  0.331  0.427  0.662
P  0.166  0.332  0.331
P  0.834  0.668  0.669
C  0.500  0.000  0.000
Se  0.170  0.836  0.340
Se  0.500  0.500  0.000
Se  0.830  0.164  0.660

Record 8
Here is crystalline AlSi2W at its relaxed geometry from Alexandria via LeMat-Bulk. Energies are from PBE.

Total DFT energy (no corrections) = -27.54 eV/cell
ΔE_f (raw) = 0 kJ/mol of formula units

Cell: 3.297 3.315 6.259 Å, 58.05 90.00 90.00°
Element x y z (fractional)
W  0.500  0.250  0.250
Si  0.000  0.505  0.495
Si  0.000  0.995  0.005
Al  0.500  0.750  0.750

Record 9
Here is crystalline Na2InGe2 at its relaxed geometry from Alexandria via LeMat-Bulk. Energies are from PBE.

DFT formation energy = 1 kJ/mol of atoms
Total DFT energy (no corrections) = -29.15 eV/cell
E above lowest polymorph = 55 kJ/mol of formula units

Cell: 8.369 8.369 3.333 Å, 90.00 90.00 90.00°
Element x y z (fractional)
Ge  0.394  0.894  0.000
Ge  0.106  0.394  0.000
Ge  0.606  0.106  0.000
Ge  0.894  0.606  0.000
In  0.500  0.500  0.000
In  0.000  0.000  0.000
Na  0.690  0.810  0.500
Na  0.310  0.190  0.500
Na  0.190  0.690  0.500
Na  0.810  0.310  0.500

Record 10
Here is crystalline HfMo at its relaxed geometry from Alexandria via LeMat-Bulk. Energies are from PBE.

DFT formation energy = 27 kJ/mol of atoms
Total DFT energy (no corrections) = -121.32 eV/cell
E above lowest polymorph = 75 kJ/mol of formula units

Cell: 7.774 7.774 4.684 Å, 90.00 90.00 120.00°
Element x y z (fractional)
Hf  0.165  0.321  0.750
Hf  0.679  0.844  0.750
Hf  0.156  0.835  0.750
Hf  0.835  0.679  0.250
Hf  0.321  0.156  0.250
Hf  0.844  0.165  0.250
Mo  0.463  0.880  0.250
Mo  0.537  0.120  0.750
Mo  0.120  0.582  0.250
Mo  0.880  0.418  0.750
Mo  0.418  0.537  0.250
Mo  0.582  0.463  0.750

Record 11
Here is crystalline SmCdPtAu at its relaxed geometry from Alexandria via LeMat-Bulk. Energies are from PBE.

DFT formation energy = -68 kJ/mol of atoms
Total DFT energy (no corrections) = -17.78 eV/cell

Cell: 4.937 4.937 4.937 Å, 60.00 60.00 60.00°
Element x y z (fractional)
Pt  0.750  0.750  0.750
Sm  0.000  0.000  0.000
Cd  0.500  0.500  0.500
Au  0.250  0.250  0.250

Record 12
Here is crystalline Pm5Dy4Er2 at its relaxed geometry from Alexandria via LeMat-Bulk. Energies are from PBE.

DFT formation energy = 7 kJ/mol of atoms
Total DFT energy (no corrections) = -50.47 eV/cell
E above lowest polymorph = 0 kJ/mol of formula units

Cell: 3.545 11.601 8.984 Å, 93.93 101.38 90.00°
Element x y z (fractional)
Pm  0.823  0.929  0.646
Pm  0.097  0.535  0.194
Pm  0.903  0.465  0.806
Pm  0.177  0.071  0.354
Pm  0.500  0.000  0.000
Er  0.716  0.353  0.431
Er  0.284  0.647  0.569
Dy  0.036  0.260  0.072
Dy  0.641  0.794  0.282
Dy  0.359  0.206  0.718
Dy  0.964  0.740  0.928

Record 13
Here is crystalline Ca2InGe3Pt4 at its relaxed geometry from Alexandria via LeMat-Bulk. Energies are from PBE.

DFT formation energy = -74 kJ/mol of atoms
Total DFT energy (no corrections) = -52.40 eV/cell

Cell: 4.290 4.290 10.844 Å, 90.00 90.00 90.00°
Element x y z (fractional)
Pt  0.500  0.000  0.648
Pt  0.000  0.000  0.000
Pt  0.000  0.500  0.352
Pt  0.500  0.500  0.000
Ge  0.500  0.000  0.873
Ge  0.000  0.500  0.127
Ge  0.000  0.000  0.500
Ca  0.500  0.000  0.241
Ca  0.000  0.500  0.759
In  0.500  0.500  0.500

Record 14
Here is crystalline La15Dy4Th at its relaxed geometry from Alexandria via LeMat-Bulk. Energies are from PBE.

DFT formation energy = 2 kJ/mol of atoms
Total DFT energy (no corrections) = -99.34 eV/cell

Cell: 5.213 5.213 26.054 Å, 90.00 90.00 90.00°
Element x y z (fractional)
La  0.500  0.000  0.500
La  0.500  0.000  0.700
La  0.500  0.000  0.300
La  0.000  0.500  0.700
La  0.500  0.500  0.202
La  0.500  0.000  0.903
La  0.500  0.000  0.097
La  0.500  0.500  0.000
La  0.500  0.500  0.401
La  0.000  0.500  0.500
La  0.500  0.500  0.599
La  0.000  0.500  0.903
La  0.000  0.500  0.300
La  0.500  0.500  0.798
La  0.000  0.500  0.097
Dy  0.000  0.000  0.400
Dy  0.000  0.000  0.600
Dy  0.000  0.000  0.799
Dy  0.000  0.000  0.201
Th  0.000  0.000  0.000

Record 15
Here is crystalline SiN at its relaxed geometry from Alexandria via LeMat-Bulk. Energies are from PBE.

Total DFT energy (no corrections) = -118.09 eV/cell
E above lowest polymorph = 47 kJ/mol of formula units
ΔE_f (raw) = -98 kJ/mol of formula units

Cell: 7.886 7.886 2.871 Å, 90.00 90.00 90.00°
Element x y z (fractional)
Si  0.652  0.069  0.000
Si  0.931  0.652  0.000
Si  0.348  0.931  0.000
Si  0.385  0.301  0.500
Si  0.301  0.615  0.500
Si  0.699  0.385  0.500
Si  0.069  0.348  0.000
Si  0.615  0.699  0.500
N  0.858  0.743  0.500
N  0.855  0.425  0.000
N  0.575  0.855  0.000
N  0.142  0.257  0.500
N  0.145  0.575  0.000
N  0.257  0.858  0.500
N  0.743  0.142  0.500
N  0.425  0.145  0.000

Record 16
Here is crystalline BaHg2BiH at its relaxed geometry from Alexandria via LeMat-Bulk. Energies are from PBE.

Total DFT energy (no corrections) = -10.88 eV/cell

Cell: 5.124 5.124 5.025 Å, 90.00 90.00 90.00°
Element x y z (fractional)
H  0.000  0.000  0.000
Hg  0.000  0.500  0.000
Hg  0.500  0.000  0.000
Bi  0.500  0.500  0.500
Ba  0.000  0.000  0.500